[1]
! CsNa3In GGA-PBEsol optimized geometry; values from VASP
&SYSTEM
  ibrav = 0, nat = 5, ntyp = 3
/
ATOMIC_SPECIES
Cs 132.91 Cs.upf
In 114.82 In.upf
Na 22.99 Na.upf
CELL_PARAMETERS angstrom
6.451 0.000 0.000
0.000 6.451 0.000
0.000 0.000 6.451
ATOMIC_POSITIONS angstrom
Cs 0.000 0.000 0.000
In 3.226 3.226 3.226
Na 0.000 0.000 3.226
Na 0.000 3.226 0.000
Na 3.226 0.000 0.000
! Calculated formation energy: 0.690 eV/atom
! Crystal system: cubic



[2]
! TaMn2Br GGA-PBEsol optimized geometry; values from VASP
&SYSTEM
  ibrav = 0, nat = 4, ntyp = 3
/
ATOMIC_SPECIES
Br 79.90 Br.upf
Ta 180.95 Ta.upf
Mn 54.94 Mn.upf
CELL_PARAMETERS angstrom
4.404 0.000 0.000
2.202 3.814 0.000
2.202 1.271 3.596
ATOMIC_POSITIONS angstrom
Br 4.404 2.543 1.798
Ta 2.202 1.271 0.899
Mn 6.606 3.814 2.697
Mn 0.000 0.000 0.000
! Formation energy from raw total energies: 803 meV/atom
! Crystal system: cubic



[3]
! NaCu4Sb2 GGA-PBEsol optimized geometry; values from VASP
&SYSTEM
  ibrav = 0, nat = 7, ntyp = 3
/
ATOMIC_SPECIES
Cu 63.55 Cu.upf
Sb 121.76 Sb.upf
Na 22.99 Na.upf
CELL_PARAMETERS angstrom
4.210 0.000 0.000
2.105 3.646 0.000
2.105 1.215 8.368
ATOMIC_POSITIONS angstrom
Cu 2.105 1.215 4.769
Cu 4.210 2.431 2.939
Cu 4.210 2.431 5.429
Sb 2.105 1.215 2.118
Sb 6.316 3.646 6.250
Na 0.000 0.000 0.000
Cu 6.316 3.646 3.599
! Formation energy from raw total energies: -81 meV/atom
! Crystal system: trigonal



[4]
! Ca2MgSb GGA-PBEsol optimized geometry; values from VASP
&SYSTEM
  ibrav = 0, nat = 4, ntyp = 3
/
ATOMIC_SPECIES
Sb 121.76 Sb.upf
Mg 24.30 Mg.upf
Ca 40.08 Ca.upf
CELL_PARAMETERS angstrom
-1.539 3.776 1.902
-1.852 -0.139 4.098
5.947 2.464 5.242
ATOMIC_POSITIONS angstrom
Sb 1.060 1.600 3.004
Mg 0.772 2.961 5.389
Ca 1.466 4.496 8.225
Ca -2.857 3.731 6.245
! Formation energy from raw total energies: -303 meV/atom
! Crystal system: trigonal



[5]
! NaBi2AuO5 GGA-PBEsol optimized geometry; values from VASP
&SYSTEM
  ibrav = 0, nat = 36, ntyp = 4
/
ATOMIC_SPECIES
O 16.00 O.upf
Bi 208.98 Bi.upf
Na 22.99 Na.upf
Au 196.97 Au.upf
CELL_PARAMETERS angstrom
-0.199 -2.537 -2.499
-2.451 -8.396 8.716
-12.082 2.203 -1.276
ATOMIC_POSITIONS angstrom
O -1.767 -6.809 4.507
Bi -4.361 -3.193 3.588
O -3.280 -5.145 2.938
O -6.487 -1.528 -0.479
O -9.130 -0.215 0.944
O -11.452 -3.585 2.004
O -11.261 -4.248 5.206
O -6.241 -5.575 3.610
O -12.965 -1.920 0.434
Na -10.509 -6.453 4.840
O -3.273 -1.945 2.234
O -9.024 -5.089 3.338
Bi -9.416 1.284 -0.555
Bi -10.173 -3.000 3.853
Au -0.099 -1.268 -1.250
Bi -5.117 -7.477 7.995
O -3.639 -8.439 6.310
Na -4.223 -2.277 0.102
O -5.403 -5.978 6.497
O -4.205 -0.555 -1.648
Na -4.218 -6.699 4.590
O -11.093 -0.291 -1.368
Au -1.325 -5.466 3.109
Au -7.366 -4.365 2.471
Bi -1.157 -1.828 1.947
Bi -13.377 -4.365 5.493
Bi -7.293 -1.053 1.648
Na -10.514 -2.031 0.352
Au -6.141 -0.167 -1.887
O -12.951 -6.763 5.349
Bi -7.240 -5.140 5.793
O -8.244 -7.202 5.420
O -10.527 -8.175 6.589
O -5.708 -3.640 1.604
O -1.781 -1.967 -0.407
O -8.490 -3.155 1.332
! Formation energy from raw total energies: -1049 meV/atom
! Crystal system: tetragonal



[6]
! ScAlRu2 GGA-PBEsol optimized geometry; values from VASP
&SYSTEM
  ibrav = 0, nat = 4, ntyp = 3
/
ATOMIC_SPECIES
Sc 44.96 Sc.upf
Al 26.98 Al.upf
Ru 101.07 Ru.upf
CELL_PARAMETERS angstrom
3.098 0.000 0.000
0.000 3.098 0.000
0.000 0.000 6.099
ATOMIC_POSITIONS angstrom
Sc 1.549 1.549 0.000
Al 1.549 1.549 3.049
Ru 0.000 0.000 1.642
Ru 0.000 0.000 4.457
! Calculated formation energy: -0.523 eV/atom
! Crystal system: tetragonal



Number 1: raw total energy -0.94 eV per atom, theoretical density 2.0 Mg/m³. Number 2: raw total energy -7.68 eV per atom, theoretical density 10.2 Mg/m³. Number 3: raw total energy -4.06 eV per atom, theoretical density 6.7 Mg/m³. Number 4: raw total energy -2.94 eV per atom, theoretical density 2.7 Mg/m³. Number 5: raw total energy -5.51 eV per atom, theoretical density 8.8 Mg/m³. Number 6: raw total energy -8.28 eV per atom, theoretical density 7.8 Mg/m³.